## GdGeAuSeS2 (PBE)

Data for an optimized crystal structure of GdGeAuSeS2.

## Properties
**Total energy**: -4.89 eV per atom
**Total magnetization**: 0.0 μB/cell

a b c (Å): 7.2880 7.2880 10.3823
angles (deg): 90.00 90.00 147.56
Positions (direct):
Au 0.1521 0.8479 0.2500
Se 0.4186 0.5814 0.2500
Gd 0.5000 0.5000 0.0000
Ge 0.7986 0.2014 0.2500
S 0.8657 0.1343 0.5240
Au 0.8479 0.1521 0.7500
S 0.1343 0.8657 0.4760
Se 0.5814 0.4186 0.7500
S 0.1343 0.8657 0.0240
Ge 0.2014 0.7986 0.7500
Gd 0.5000 0.5000 0.5000
S 0.8657 0.1343 0.9760

## GdGeTe2AuS (PBE)

Data for an optimized crystal structure of GdGeTe2AuS.

## Properties
**Total energy**: -4.42 eV per atom
**Total magnetization**: 0.0 μB/cell

a b c (Å): 7.6754 7.6754 10.1250
angles (deg): 90.00 90.00 148.51
Positions (direct):
S 0.4199 0.5801 0.7500
Ge 0.2681 0.7319 0.2500
Gd 0.5000 0.5000 0.0000
Te 0.1572 0.8428 0.9409
Ge 0.7319 0.2681 0.7500
Au 0.9826 0.0174 0.2500
Te 0.8428 0.1572 0.0591
Te 0.8428 0.1572 0.4409
Au 0.0174 0.9826 0.7500
S 0.5801 0.4199 0.2500
Gd 0.5000 0.5000 0.5000
Te 0.1572 0.8428 0.5591

## GdScGe2Au2 (PBE)

Data for an optimized crystal structure of GdScGe2Au2.

## Properties
**Total energy**: -5.24 eV per atom
**Total magnetization**: 0.0 μB/cell

a b c (Å): 4.4318 4.4318 7.1586
angles (deg): 90.00 90.00 120.00
Positions (direct):
Au 0.6667 0.3333 0.3106
Au 0.3333 0.6667 0.7779
Gd 0.0000 0.0000 0.0008
Ge 0.3333 0.6667 0.2167
Sc 0.0000 0.0000 0.4994
Ge 0.6667 0.3333 0.6961

Question: total energy of number 3 (GdScGe2Au2)?
Answer: -5.24 eV per atom